Entry 1:
Entry from the Alexandria database: a relaxed Li2HoTl crystal (PBE-GGA).

Properties
* theoretical density: 6.99 Mg/m³
* energy relative to the lowest polymorph listed for this composition: 0.1446 eV per atom
* formation energy from the elements: -71 meV per atom
* DOS at the Fermi energy: 2.5 states/eV per cell

abc: 3.697 3.697 6.655
angles: 90.00 90.00 90.00
Atoms (fractional coordinates):
Tl  0.500  0.500  0.000
Ho  0.500  0.500  0.500
Li  0.000  0.000  0.788
Li  0.000  0.000  0.212



Entry 2:
Entry from the Alexandria database: a relaxed Li2HoTl crystal (PBE-GGA).

Properties
* theoretical density: 7.99 Mg/m³
* energy relative to the lowest polymorph listed for this composition: 0.0000 eV per atom
* formation energy from the elements: -216 meV per atom
* DOS at the Fermi energy: 1.3 states/eV per cell

abc: 4.830 4.830 4.830
angles: 60.00 60.00 60.00
Atoms (fractional coordinates):
Tl  0.000  0.000  0.000
Li  0.750  0.750  0.750
Li  0.250  0.250  0.250
Ho  0.500  0.500  0.500



Entry 3:
Entry from the Alexandria database: a relaxed LiHo6Tl5 crystal (PBE-GGA).

Properties
* theoretical density: 10.50 Mg/m³
* energy relative to the lowest polymorph listed for this composition: 0.0000 eV per atom
* formation energy from the elements: -297 meV per atom
* DOS at the Fermi energy: 9.6 states/eV per cell

abc: 5.318 7.461 8.474
angles: 90.00 71.71 90.00
Atoms (fractional coordinates):
Ho  0.832  0.246  0.337
Ho  0.832  0.754  0.337
Ho  0.168  0.754  0.663
Ho  0.168  0.246  0.663
Ho  0.500  0.745  0.000
Ho  0.500  0.255  0.000
Tl  0.000  0.500  0.000
Tl  0.655  0.000  0.690
Tl  0.333  0.500  0.334
Tl  0.667  0.500  0.666
Tl  0.345  0.000  0.310
Li  0.000  0.000  0.000



Entry 4:
Entry from the Alexandria database: a relaxed LiHoTl2 crystal (PBE-GGA).

Properties
* theoretical density: 9.74 Mg/m³
* energy relative to the lowest polymorph listed for this composition: 0.0001 eV per atom
* formation energy from the elements: -306 meV per atom
* DOS at the Fermi energy: 1.9 states/eV per cell

abc: 3.840 5.078 5.078
angles: 90.00 90.00 90.00
Atoms (fractional coordinates):
Ho  0.500  0.500  0.500
Li  0.500  0.000  0.000
Tl  0.000  0.000  0.500
Tl  0.000  0.500  0.000



Entry 5:
Entry from the Alexandria database: a relaxed LiHo2Tl9 crystal (PBE-GGA).

Properties
* theoretical density: 11.22 Mg/m³
* formation energy from the elements: -145 meV per atom
* DOS at the Fermi energy: 6.1 states/eV per cell

abc: 4.760 4.760 14.215
angles: 90.00 90.00 90.00
Atoms (fractional coordinates):
Tl  0.500  0.500  0.332
Tl  0.500  0.500  0.668
Tl  0.000  0.500  0.500
Tl  0.500  0.000  0.500
Tl  0.500  0.000  0.837
Tl  0.000  0.500  0.163
Tl  0.000  0.500  0.837
Tl  0.500  0.000  0.163
Tl  0.500  0.500  0.000
Ho  0.000  0.000  0.665
Ho  0.000  0.000  0.335
Li  0.000  0.000  0.000



Entry 6:
Entry from the Alexandria database: a relaxed LiHoTl4 crystal (PBE-GGA).

Properties
* theoretical density: 10.36 Mg/m³
* energy relative to the lowest polymorph listed for this composition: 0.0000 eV per atom
* formation energy from the elements: -114 meV per atom
* DOS at the Fermi energy: 3.2 states/eV per cell

abc: 3.667 6.545 8.081
angles: 112.90 76.89 73.73
Atoms (fractional coordinates):
Tl  0.662  0.001  0.675
Tl  0.812  0.529  0.847
Tl  0.188  0.471  0.153
Tl  0.338  0.999  0.325
Ho  0.500  0.500  0.500
Li  0.000  0.000  0.000



Entry 7:
Entry from the Alexandria database: a relaxed LiHo2Tl3 crystal (PBE-GGA).

Properties
* theoretical density: 10.33 Mg/m³
* energy relative to the lowest polymorph listed for this composition: 0.0000 eV per atom
* formation energy from the elements: -308 meV per atom
* DOS at the Fermi energy: 4.7 states/eV per cell

abc: 5.223 5.223 12.929
angles: 90.00 90.00 120.00
Atoms (fractional coordinates):
Tl  0.333  0.667  0.419
Tl  0.000  0.000  0.744
Tl  0.667  0.333  0.581
Tl  0.667  0.333  0.090
Tl  0.333  0.667  0.910
Tl  0.000  0.000  0.256
Li  0.333  0.667  0.660
Li  0.667  0.333  0.340
Ho  0.000  0.000  0.000
Ho  0.000  0.000  0.500
Ho  0.667  0.333  0.825
Ho  0.333  0.667  0.175



Entry 8:
Entry from the Alexandria database: a relaxed LiHo2Tl6 crystal (PBE-GGA).

Properties
* theoretical density: 10.47 Mg/m³
* formation energy from the elements: -94 meV per atom
* DOS at the Fermi energy: 5.1 states/eV per cell

abc: 3.591 8.323 9.281
angles: 116.64 89.98 90.00
Atoms (fractional coordinates):
Tl  0.001  0.658  0.686
Tl  0.999  0.972  0.314
Tl  0.500  0.689  0.000
Tl  0.001  0.028  0.686
Tl  0.999  0.342  0.314
Tl  0.500  0.311  0.000
Ho  0.501  0.307  0.614
Ho  0.499  0.693  0.386
Li  0.000  0.000  0.000



Entry 9:
Entry from the Alexandria database: a relaxed Li2Ho5Tl5 crystal (PBE-GGA).

Properties
* theoretical density: 9.85 Mg/m³
* formation energy from the elements: -265 meV per atom
* DOS at the Fermi energy: 10.3 states/eV per cell

abc: 5.018 4.985 14.791
angles: 99.72 90.00 120.22
Atoms (fractional coordinates):
Ho  0.694  0.387  0.086
Ho  0.227  0.454  0.672
Ho  0.306  0.613  0.914
Ho  0.500  0.000  0.500
Ho  0.773  0.546  0.328
Tl  0.399  0.799  0.208
Tl  0.863  0.725  0.582
Tl  0.601  0.201  0.792
Tl  0.000  0.000  0.000
Tl  0.137  0.275  0.418
Li  0.067  0.134  0.209
Li  0.933  0.866  0.791



Entry 10:
Entry from the Alexandria database: a relaxed LiHo3Tl3 crystal (PBE-GGA).

Properties
* theoretical density: 10.02 Mg/m³
* formation energy from the elements: -271 meV per atom
* DOS at the Fermi energy: 9.9 states/eV per cell

abc: 4.605 6.122 14.357
angles: 83.62 80.77 67.91
Atoms (fractional coordinates):
Ho  0.736  0.749  0.779
Ho  0.466  0.683  0.385
Ho  0.534  0.317  0.615
Ho  0.593  0.731  0.083
Ho  0.407  0.269  0.917
Ho  0.264  0.251  0.221
Tl  0.139  0.277  0.445
Tl  0.976  0.810  0.239
Tl  0.870  0.187  0.072
Tl  0.024  0.190  0.761
Tl  0.861  0.723  0.555
Tl  0.130  0.813  0.928
Li  0.761  0.081  0.398
Li  0.239  0.919  0.602



Entry 11:
Entry from the Alexandria database: a relaxed Li2Ho3Tl6 crystal (PBE-GGA).

Properties
* theoretical density: 10.36 Mg/m³
* formation energy from the elements: -146 meV per atom
* DOS at the Fermi energy: 5.9 states/eV per cell

abc: 4.658 4.658 13.234
angles: 100.14 100.14 90.00
Atoms (fractional coordinates):
Tl  0.403  0.903  0.807
Tl  0.310  0.310  0.621
Tl  0.690  0.690  0.379
Tl  0.597  0.097  0.193
Tl  0.903  0.403  0.807
Tl  0.097  0.597  0.193
Ho  0.191  0.191  0.382
Ho  0.000  0.000  0.000
Ho  0.809  0.809  0.618
Li  0.546  0.546  0.092
Li  0.454  0.454  0.908



Entry 12:
Entry from the Alexandria database: a relaxed LiHo4Tl crystal (PBE-GGA).

Properties
* theoretical density: 7.68 Mg/m³
* formation energy from the elements: 248 meV per atom
* DOS at the Fermi energy: 7.9 states/eV per cell

abc: 5.019 5.019 7.477
angles: 89.99 89.99 90.00
Atoms (fractional coordinates):
Ho  0.501  0.997  0.742
Ho  0.001  0.497  0.742
Ho  0.501  0.997  0.254
Ho  0.001  0.497  0.254
Tl  0.501  0.497  0.998
Li  0.001  0.997  0.498